## one
{
  "formula": "SrNiP3",
  "functional": "PBE",
  "state": "relaxed",
  "total_magnetization_mub_per_cell": 1.36,
  "vol_a3_per_cell": 155.7,
  "rho_g_cm3": 2.55,
  "cell": [[5.379, 0.000, 0.000], [0.000, 5.379, 0.000], [0.000, 0.000, 5.379]],
  "species": ["Sr", "Ni", "P", "P", "P"],
  "fractional_positions": [[0.000, 0.000, 0.000], [0.500, 0.500, 0.500], [0.000, 0.000, 0.500], [0.000, 0.500, 0.000], [0.500, 0.000, 0.000]]
}



## two
{
  "formula": "SrNiP3",
  "functional": "PBE",
  "state": "relaxed",
  "total_magnetization_mub_per_cell": 0.00,
  "vol_a3_per_cell": 96.7,
  "rho_g_cm3": 4.11,
  "cell": [[4.591, 0.000, 0.000], [0.000, 4.591, 0.000], [0.000, 0.000, 4.591]],
  "species": ["Sr", "Ni", "P", "P", "P"],
  "fractional_positions": [[0.000, 0.000, 0.000], [0.500, 0.500, 0.500], [0.000, 0.500, 0.500], [0.500, 0.000, 0.500], [0.500, 0.500, 0.000]]
}



The most stable arrangement is two, and the next structure is 1914 meV/atom less stable.